{
  "formula": "AlHg3",
  "functional": "PBE-GGA",
  "state": "optimized geometry",
  "energy_ev_per_atom": -1.0156,
  "e_form_ev_per_atom": 0.15,
  "sg": "Pmm2",
  "lattice": [[-1.347, -3.392, 0.491], [3.461, -1.368, 0.043], [0.285, 0.954, 7.368]],
  "species": ["Hg", "Al", "Hg", "Hg"],
  "fractional_positions": [[0.000, 0.500, 0.474], [0.000, 0.000, 0.006], [0.500, 0.500, 0.141], [0.500, 0.000, 0.712]]
}